## Ba2B2AsH3F18 (GGA-PBE)

Data for Ba2B2AsH3F18 after structural relaxation.

abc: 7.033 7.033 17.663
angles: 90.00 90.00 120.00
Positions (direct):
Ba  0.667  0.333  0.124
Ba  0.333  0.667  0.876
Ba  0.333  0.667  0.624
Ba  0.667  0.333  0.376
B  0.667  0.333  0.891
B  0.333  0.667  0.109
B  0.333  0.667  0.391
B  0.667  0.333  0.609
As  0.000  0.000  0.000
As  0.000  0.000  0.500
H  0.889  0.111  0.250
H  0.221  0.111  0.250
H  0.889  0.779  0.250
H  0.111  0.889  0.750
H  0.779  0.889  0.750
H  0.111  0.221  0.750
F  0.806  0.194  0.250
F  0.389  0.194  0.250
F  0.806  0.611  0.250
F  0.194  0.806  0.750
F  0.611  0.806  0.750
F  0.194  0.389  0.750
F  0.114  0.557  0.135
F  0.443  0.886  0.135
F  0.443  0.557  0.135
F  0.886  0.443  0.865
F  0.557  0.114  0.865
F  0.557  0.443  0.865
F  0.886  0.443  0.635
F  0.557  0.114  0.635
F  0.557  0.443  0.635
F  0.114  0.557  0.365
F  0.443  0.886  0.365
F  0.443  0.557  0.365
F  0.118  0.237  0.942
F  0.118  0.882  0.942
F  0.763  0.882  0.942
F  0.882  0.763  0.058
F  0.882  0.118  0.058
F  0.237  0.118  0.058
F  0.882  0.763  0.442
F  0.882  0.118  0.442
F  0.237  0.118  0.442
F  0.118  0.237  0.558
F  0.118  0.882  0.558
F  0.763  0.882  0.558
F  0.000  0.000  0.750
F  0.000  0.000  0.250
F  0.667  0.333  0.972
F  0.333  0.667  0.028
F  0.333  0.667  0.472
F  0.667  0.333  0.528

E_tot: -5.248 eV/atom